! GGA-PBE TaCrAu2, relaxed; values from VASP
&SYSTEM
  ibrav = 0, nat = 8, ntyp = 3
/
ATOMIC_SPECIES
Au 196.97 Au.upf
Ta 180.95 Ta.upf
Cr 52.00 Cr.upf
ATOMIC_POSITIONS angstrom
Au 2.8747 2.8963 7.3478
Au 4.7911 4.7695 7.3478
Au 0.9799 2.8747 2.4493
Au 2.8530 0.9582 2.4493
Ta 0.0000 0.0000 0.0000
Ta 3.8329 1.9165 4.8985
Cr 1.9165 1.9165 0.0000
Cr 1.9165 3.8329 4.8985
CELL_PARAMETERS angstrom
3.8329 0.0000 0.0000
0.0000 3.8329 0.0000
1.9165 1.9165 9.7971
! crystal system	tetragonal
! D(E_F)	2.5	states/eV/f.u.
! VASP energy	-6.479	eV per atom
! space group	I-42d
! M_tot	2.00	μB/f.u.

! GGA-PBE PrGa5Cu2Pd, relaxed; values from VASP
&SYSTEM
  ibrav = 0, nat = 9, ntyp = 4
/
ATOMIC_SPECIES
Ga 69.72 Ga.upf
Pr 140.91 Pr.upf
Cu 63.55 Cu.upf
Pd 106.42 Pd.upf
ATOMIC_POSITIONS angstrom
Ga 0.1642 -5.2925 2.3877
Ga 3.4920 -6.7499 4.1933
Ga -0.6577 -2.4945 -0.4325
Ga -0.2206 -1.2552 2.2842
Ga 3.0550 -7.9891 1.4765
Pr 2.6702 -3.9518 1.3730
Cu -1.0560 -3.4866 1.7603
Cu 1.3844 -7.0984 3.0152
Pd 0.0000 0.0000 0.0000
CELL_PARAMETERS angstrom
-2.0689 -0.1015 3.7314
-2.9430 -2.5799 -1.7020
5.3404 -7.9036 2.7460
! crystal system	tetragonal
! D(E_F)	4.0	states/eV/f.u.
! VASP energy	-3.893	eV per atom
! space group	P4/mmm
! M_tot	0.00	μB/f.u.

! GGA-PBE ZrBeAu3, relaxed; values from VASP
&SYSTEM
  ibrav = 0, nat = 5, ntyp = 3
/
ATOMIC_SPECIES
Be 9.01 Be.upf
Zr 91.22 Zr.upf
Au 196.97 Au.upf
ATOMIC_POSITIONS angstrom
Be 1.0287 -3.9368 -2.0803
Zr 0.0000 0.0000 0.0000
Au 1.5935 -1.8652 0.9713
Au -1.7423 -1.8533 -0.7006
Au 1.1776 -0.2183 -2.3510
CELL_PARAMETERS angstrom
-3.4846 -3.7067 -1.4013
2.3551 -0.4365 -4.7020
3.1869 -3.7303 1.9426
! crystal system	cubic
! D(E_F)	3.6	states/eV/f.u.
! VASP energy	-3.288	eV per atom
! space group	Pm-3m
! M_tot	0.00	μB/f.u.